Model a:
The following is a PBE-GGA calculation of CeBeZn after structural relaxation, from Alexandria via LeMat-Bulk.

Geometry as extended XYZ:
```
12
Lattice="6.4487 0.0000 0.0000 0.0000 6.4487 0.0000 0.0000 0.0000 5.9932" Properties=species:S:1:pos:R:3 pbc="T T T"
Be 2.7277 2.7277 0.0000
Be 3.7211 3.7211 2.9966
Be 0.4967 5.9521 1.4983
Be 5.9521 0.4967 4.4949
Zn 4.3707 2.0780 4.4949
Zn 5.3024 5.3024 2.9966
Zn 1.1464 1.1464 0.0000
Zn 2.0780 4.3707 1.4983
Ce 4.9520 1.4967 1.4983
Ce 4.7211 4.7211 0.0000
Ce 1.7277 1.7277 2.9966
Ce 1.4967 4.9520 4.4949
```

Values from the calculation:
space-group type	P4_12_12, No. 92

=====

Model b:
The following is a PBE-GGA calculation of CeBeZn after structural relaxation, from Alexandria via LeMat-Bulk.

Geometry as extended XYZ:
```
3
Lattice="-3.2026 1.0696 -0.0871 -1.3815 -4.0616 0.9208 0.8526 2.8178 3.2537" Properties=species:S:1:pos:R:3 pbc="T T T"
Be -0.5323 0.1778 -0.0145
Zn -1.1712 -1.5900 1.6839
Ce -2.0280 1.2380 2.4180
```

Values from the calculation:
space-group type	P-6m2, No. 187

=====

model b (27.0 kJ/mol of atoms below the next structure)

=====

Model a:
The following is a PBE-GGA calculation of BeCl after structural relaxation, from Alexandria via LeMat-Bulk.

Geometry as extended XYZ:
```
8
Lattice="3.1140 0.0000 0.0000 0.0000 5.1503 0.0000 0.0000 0.0000 10.0354" Properties=species:S:1:pos:R:3 pbc="T T T"
Be 2.3355 4.9834 1.3703
Be 0.7785 2.4083 3.6474
Be 2.3355 2.7420 6.3881
Be 0.7785 0.1669 8.6651
Cl 2.3355 1.2271 9.5992
Cl 0.7785 3.8022 5.4539
Cl 2.3355 1.3481 4.5815
Cl 0.7785 3.9232 0.4362
```

Values from the calculation:
space-group type	Pnma, No. 62

=====

Model b:
The following is a PBE-GGA calculation of BeCl after structural relaxation, from Alexandria via LeMat-Bulk.

Geometry as extended XYZ:
```
6
Lattice="-2.6318 -2.7153 -4.5967 -0.0712 -1.1949 -5.8307 2.9517 -6.6605 -2.0815" Properties=species:S:1:pos:R:3 pbc="T T T"
Be 0.3603 -7.7257 -8.7719
Be 1.2054 -4.5383 -3.0907
Be 0.8102 -5.5316 -5.1347
Cl 2.5183 -6.2740 -2.5048
Cl 1.2042 -3.2144 -1.4618
Cl 0.3441 -8.9400 -10.3017
```

Values from the calculation:
space-group type	Cm, No. 8

=====

Model c:
The following is a PBE-GGA calculation of BeCl after structural relaxation, from Alexandria via LeMat-Bulk.

Geometry as extended XYZ:
```
4
Lattice="-4.2168 -3.0994 2.0238 2.4482 -3.5286 -3.6110 1.9254 -1.0788 2.3595" Properties=species:S:1:pos:R:3 pbc="T T T"
Be -2.1022 -3.9517 3.2265
Be 2.2589 -3.7551 -2.4541
Cl -0.7188 -4.0408 2.0569
Cl 0.8755 -3.6660 -1.2846
```

Values from the calculation:
space-group type	Cmcm, No. 63

=====

model b (11.3 kJ/mol of atoms below the next structure)

=====

Model a:
The following is a PBE-GGA calculation of BeCl after structural relaxation, from Alexandria via LeMat-Bulk.

Geometry as extended XYZ:
```
12
Lattice="-2.7100 1.6384 -0.3413 -3.9730 -5.5626 4.8429 1.6566 3.9740 5.9235" Properties=species:S:1:pos:R:3 pbc="T T T"
Be -3.7395 -1.4498 7.8703
Be -0.8018 2.6633 4.2894
Be -2.5813 -0.6555 2.4871
Be -3.6166 -2.1050 3.7491
Be 0.7127 1.7097 2.5485
Be -0.4455 0.9155 7.9317
Cl -0.0435 1.1032 5.6415
Cl -1.5984 -1.0737 7.5368
Cl -2.8583 -3.6651 5.1012
Cl -0.4402 -0.2795 2.1536
Cl 0.0892 4.2837 4.9934
Cl -2.7256 -0.4846 4.4531
```

Values from the calculation:
space-group type	Amm2, No. 38

=====

Model b:
The following is a PBE-GGA calculation of BeCl after structural relaxation, from Alexandria via LeMat-Bulk.

Geometry as extended XYZ:
```
4
Lattice="3.0169 0.0000 0.0000 0.0000 4.4081 0.0351 0.0000 1.9149 6.1561" Properties=species:S:1:pos:R:3 pbc="T T T"
Be 0.0000 2.0623 5.5562
Be 1.5084 4.5948 5.2433
Cl 0.0000 3.4563 3.9878
Cl 1.5084 1.2859 0.6556
```

Values from the calculation:
space-group type	P2_1/m, No. 11

=====

Model c:
The following is a PBE-GGA calculation of BeCl after structural relaxation, from Alexandria via LeMat-Bulk.

Geometry as extended XYZ:
```
2
Lattice="-0.0332 2.4288 1.8209 -2.9353 -0.4898 0.5998 0.7734 -1.7535 2.3531" Properties=species:S:1:pos:R:3 pbc="T T T"
Be 0.0000 0.0000 0.0000
Cl -1.0975 0.0927 2.3869
```

Values from the calculation:
space-group type	Pm-3m, No. 221

=====

model a (3.4 kJ/mol of atoms below the next structure)

=====

Model a:
The following is a PBE-GGA calculation of BeCl after structural relaxation, from Alexandria via LeMat-Bulk.

Geometry as extended XYZ:
```
16
Lattice="-7.5525 1.7289 -8.6924 8.0278 -3.5045 -7.6721 -1.0465 -3.0567 0.3013" Properties=species:S:1:pos:R:3 pbc="T T T"
Be -0.8082 -2.9290 -15.0504
Be 0.2370 -1.9033 -1.0129
Be 6.3737 -4.7282 -8.3586
Be -6.9449 -0.1041 -7.7047
Be -3.0294 -0.0764 -11.2972
Be 3.5046 -1.6993 -5.0673
Be 3.0966 -2.1957 -11.5215
Be -2.6213 0.4201 -4.8430
Cl -3.0716 -1.6591 -10.0277
Cl 2.5004 -3.1732 -6.0355
Cl 1.5244 -3.3186 -10.9002
Cl -2.0957 -1.5138 -5.1631
Cl -2.1981 -0.5398 -13.1117
Cl 2.6733 -1.2358 -3.2528
Cl 4.8489 -2.7037 -10.5890
Cl -4.3737 0.9281 -5.7756
```

Values from the calculation:
space-group type	P4/m, No. 83

=====

Model b:
The following is a PBE-GGA calculation of BeCl after structural relaxation, from Alexandria via LeMat-Bulk.

Geometry as extended XYZ:
```
8
Lattice="8.6142 0.0000 0.0000 0.0000 8.6142 0.0000 0.0000 0.0000 3.1731" Properties=species:S:1:pos:R:3 pbc="T T T"
Be 3.5737 5.0405 0.0000
Be 7.8808 7.8808 1.5866
Be 0.7334 0.7334 1.5866
Be 5.0405 3.5737 0.0000
Cl 1.6281 1.6281 0.0000
Cl 5.9352 2.6790 1.5866
Cl 2.6790 5.9352 1.5866
Cl 6.9861 6.9861 0.0000
```

Values from the calculation:
space-group type	P4_2/mnm, No. 136

=====

model b (10.9 kJ/mol of atoms below the next structure)

=====

Model a:
The following is a PBE-GGA calculation of BeCl after structural relaxation, from Alexandria via LeMat-Bulk.

Geometry as extended XYZ:
```
12
Lattice="6.6415 0.0000 0.0000 0.0000 6.6415 0.0000 0.0000 0.0000 6.6415" Properties=species:S:1:pos:R:3 pbc="T T T"
Be 1.6604 0.0000 3.3208
Be 4.9811 0.0000 3.3208
Be 0.0000 3.3208 1.6604
Be 0.0000 3.3208 4.9811
Be 3.3208 1.6604 0.0000
Be 3.3208 4.9811 0.0000
Cl 1.6604 3.3208 0.0000
Cl 4.9811 3.3208 0.0000
Cl 3.3208 0.0000 1.6604
Cl 3.3208 0.0000 4.9811
Cl 0.0000 1.6604 3.3208
Cl 0.0000 4.9811 3.3208
```

Values from the calculation:
space-group type	Pm-3n, No. 223

=====

Model b:
The following is a PBE-GGA calculation of BeCl after structural relaxation, from Alexandria via LeMat-Bulk.

Geometry as extended XYZ:
```
4
Lattice="3.1531 0.0000 0.0000 -1.5765 2.7307 0.0000 0.0000 0.0000 6.4620" Properties=species:S:1:pos:R:3 pbc="T T T"
Be 0.0000 1.8204 1.6155
Be 1.5765 0.9102 4.8465
Cl 0.0000 0.0000 0.0000
Cl 0.0000 0.0000 3.2310
```

Values from the calculation:
space-group type	P6_3/mmc, No. 194

=====

model b (12.8 kJ/mol of atoms below the next structure)

=====

Model a:
The following is a PBE-GGA calculation of BeCl after structural relaxation, from Alexandria via LeMat-Bulk.

Geometry as extended XYZ:
```
16
Lattice="7.9661 0.0000 0.0000 0.0000 7.9661 0.0000 0.0000 0.0000 7.9661" Properties=species:S:1:pos:R:3 pbc="T T T"
Be 0.7889 0.7889 0.7889
Be 0.7889 7.1772 7.1772
Be 7.1772 0.7889 7.1772
Be 7.1772 7.1772 0.7889
Be 4.7719 4.7719 4.7719
Be 4.7719 3.1942 3.1942
Be 3.1942 4.7719 3.1942
Be 3.1942 3.1942 4.7719
Cl 1.8409 1.8409 1.8409
Cl 1.8409 6.1252 6.1252
Cl 6.1252 1.8409 6.1252
Cl 6.1252 6.1252 1.8409
Cl 5.8239 5.8239 5.8239
Cl 5.8239 2.1422 2.1422
Cl 2.1422 5.8239 2.1422
Cl 2.1422 2.1422 5.8239
```

Values from the calculation:
space-group type	I-43m, No. 217

=====

Model b:
The following is a PBE-GGA calculation of BeCl after structural relaxation, from Alexandria via LeMat-Bulk.

Geometry as extended XYZ:
```
8
Lattice="-1.3796 0.8784 -3.4106 -2.3480 -1.0197 2.7846 -1.1590 13.3109 3.8970" Properties=species:S:1:pos:R:3 pbc="T T T"
Be -0.2898 3.3277 0.9743
Be -0.8693 9.9832 2.9228
Be -2.8945 9.5962 3.6423
Be -1.9922 3.5734 -0.3712
Cl -2.1792 1.3819 1.2374
Cl -2.4360 8.6700 1.1209
Cl -2.7074 11.7877 2.0337
Cl -2.4507 4.4995 2.1502
```

Values from the calculation:
space-group type	P6_3/mmc, No. 194

=====

model a (73.0 kJ/mol of atoms below the next structure)

=====

Model a:
The following is a PBE-GGA calculation of BeCl after structural relaxation, from Alexandria via LeMat-Bulk.

Geometry as extended XYZ:
```
4
Lattice="3.1980 -0.0029 -0.0005 -1.5886 4.3696 0.0009 -0.0449 -2.3572 6.4692" Properties=species:S:1:pos:R:3 pbc="T T T"
Be 2.3447 -1.4712 6.4673
Be -0.7802 3.4807 0.0023
Cl 2.3592 -0.1746 4.9267
Cl -0.7947 2.1840 1.5429
```

Values from the calculation:
space-group type	P-1, No. 2

=====

Model b:
The following is a PBE-GGA calculation of BeCl after structural relaxation, from Alexandria via LeMat-Bulk.

Geometry as extended XYZ:
```
32
Lattice="-3.7507 5.5098 -1.8171 -5.8916 -8.7911 -14.4955 -4.7412 -2.1600 3.2370" Properties=species:S:1:pos:R:3 pbc="T T T"
Be -2.4934 -3.7205 -6.1347
Be -3.3982 -5.0706 -8.3608
Be -4.0483 -2.0354 -4.3819
Be -3.1435 -0.6853 -2.1559
Be -7.8098 -9.1961 -11.7639
Be -2.8230 -1.7550 0.5055
Be -9.3647 -7.5109 -10.0111
Be -8.4599 -6.1609 -7.7851
Be -6.7394 -2.0456 -5.4247
Be -7.6441 -3.3957 -7.6508
Be -8.2942 -0.3605 -3.6719
Be -7.3895 0.9896 -1.4459
Be -7.3146 -5.3612 -14.2910
Be -2.3277 2.0799 -2.0216
Be -8.8694 -3.6760 -12.5382
Be -7.9647 -2.3260 -10.3121
Cl -1.2306 -0.5606 0.8402
Cl -3.5106 -1.5994 2.3968
Cl -10.0523 -7.3552 -8.1198
Cl -7.7723 -6.3165 -9.6764
Cl -6.5470 -6.0362 -4.7890
Cl -4.0858 -4.9149 -6.4694
Cl -4.7359 -1.8797 -2.4905
Cl -2.4559 -0.8410 -4.0472
Cl -5.4766 1.1143 1.5501
Cl -3.0154 2.2355 -0.1302
Cl -9.5571 -3.5204 -10.6468
Cl -7.2770 -2.4816 -12.2035
Cl -6.0518 -2.2013 -7.3161
Cl -8.3318 -3.2400 -5.7594
Cl -8.9819 -0.2048 -1.7806
Cl -6.7018 0.8339 -3.3372
```

Values from the calculation:
space-group type	Fddd, No. 70

=====

model a (46.2 kJ/mol of atoms below the next structure)

=====

Model a:
The following is a PBE-GGA calculation of BeCl after structural relaxation, from Alexandria via LeMat-Bulk.

Geometry as extended XYZ:
```
2
Lattice="-0.5968 3.2090 -1.8832 0.1437 0.0295 -3.7654 -3.1603 0.4496 -2.0026" Properties=species:S:1:pos:R:3 pbc="T T T"
Be 0.0000 0.0000 0.0000
Cl -2.7100 2.7660 -5.7384
```

Values from the calculation:
space-group type	F-43m, No. 216

=====

Model b:
The following is a PBE-GGA calculation of BeCl after structural relaxation, from Alexandria via LeMat-Bulk.

Geometry as extended XYZ:
```
4
Lattice="4.4896 0.0000 0.0000 0.0000 4.4896 0.0000 0.0000 0.0000 3.0244" Properties=species:S:1:pos:R:3 pbc="T T T"
Be 1.1224 1.1224 0.0236
Be 3.3672 3.3672 3.0008
Cl 1.1224 3.3672 0.0000
Cl 3.3672 1.1224 0.0000
```

Values from the calculation:
space-group type	P4/nmm, No. 129

=====

model b (23.1 kJ/mol of atoms below the next structure)

=====

Model a:
The following is a PBE-GGA calculation of BeCl after structural relaxation, from Alexandria via LeMat-Bulk.

Geometry as extended XYZ:
```
4
Lattice="-2.4611 2.6399 -0.6087 1.7247 -2.3019 -2.2635 -6.4807 -5.8166 0.9771" Properties=species:S:1:pos:R:3 pbc="T T T"
Be -6.4144 -5.7570 0.9671
Be -5.2951 -4.2529 -0.6933
Cl -3.9106 -3.5098 0.5896
Cl -1.3182 -0.6836 -1.2929
```

Values from the calculation:
space-group type	Cmme, No. 67

=====

Model b:
The following is a PBE-GGA calculation of BeCl after structural relaxation, from Alexandria via LeMat-Bulk.

Geometry as extended XYZ:
```
4
Lattice="-1.8803 -1.6571 1.5029 0.3852 -2.1738 -1.9148 6.3320 -2.9708 4.6464" Properties=species:S:1:pos:R:3 pbc="T T T"
Be 0.0397 -0.0186 0.0292
Be 0.7957 -2.6395 0.9265
Cl 2.4882 -1.1674 1.8258
Cl 4.6793 -4.4615 3.7762
```

Values from the calculation:
space-group type	P4/nmm, No. 129

=====

Model c:
The following is a PBE-GGA calculation of BeCl after structural relaxation, from Alexandria via LeMat-Bulk.

Geometry as extended XYZ:
```
4
Lattice="-2.4949 1.4945 -1.1016 -0.3604 -2.4739 1.8498 0.0505 6.4445 8.6285" Properties=species:S:1:pos:R:3 pbc="T T T"
Be -1.0544 1.0836 3.8580
Be -1.7406 5.6286 7.1884
Cl -1.0347 3.5872 7.2101
Cl -1.7715 1.6877 1.9120
```

Values from the calculation:
space-group type	P6_3mc, No. 186

=====

Model d:
The following is a PBE-GGA calculation of BeCl after structural relaxation, from Alexandria via LeMat-Bulk.

Geometry as extended XYZ:
```
4
Lattice="-0.6584 -2.5577 1.5255 -0.0097 -2.1256 -3.5680 5.2756 -1.0084 0.5863" Properties=species:S:1:pos:R:3 pbc="T T T"
Be 2.9718 -0.5681 0.3303
Be 0.3291 -1.1266 -1.7469
Cl 0.9892 -0.1891 0.1099
Cl 3.6221 -1.7561 -1.3809
```

Values from the calculation:
space-group type	Amm2, No. 38

=====

model a (45.9 kJ/mol of atoms below the next structure)

=====

Model a:
The following is a PBE-GGA calculation of BeCl after structural relaxation, from Alexandria via LeMat-Bulk.

Geometry as extended XYZ:
```
12
Lattice="-2.9160 -9.2028 3.0647 1.8439 1.7228 -9.8090 3.0494 -0.8235 0.4286" Properties=species:S:1:pos:R:3 pbc="T T T"
Be -0.6561 -5.1021 0.7917
Be 1.9948 -3.7980 -3.7101
Be -1.0274 -7.6928 -1.5442
Be 2.6335 -3.2013 -7.1075
Be -0.0174 -4.5054 -2.6057
Be 3.0048 -0.6107 -4.7715
Cl -0.4800 -6.4156 -2.9850
Cl 3.0808 -1.3053 -6.6472
Cl -0.1175 -3.8866 -0.7047
Cl 2.4574 -1.8879 -3.3308
Cl -1.1034 -6.9981 0.3314
Cl 2.0949 -4.4168 -5.6111
```

Values from the calculation:
space-group type	P6_3/mmc, No. 194

=====

Model b:
The following is a PBE-GGA calculation of BeCl after structural relaxation, from Alexandria via LeMat-Bulk.

Geometry as extended XYZ:
```
4
Lattice="4.6263 0.0000 0.0000 2.3131 4.0065 0.0000 2.3131 1.3355 3.7773" Properties=species:S:1:pos:R:3 pbc="T T T"
Be 0.0000 0.0000 0.0000
Be 2.3131 1.3355 0.9443
Cl 4.6263 2.6710 1.8887
Cl 6.9394 4.0065 2.8330
```

Values from the calculation:
space-group type	Fd-3m, No. 227

=====

model a (150.6 kJ/mol of atoms below the next structure)